Material: Li3Ni3IrO8
Method: DFT, PBE with a Hubbard U
State: optimized geometry

**D(E_F)**: 6.6 states/eV/f.u.
**Symmetry**: R-3m
**Calculated volume**: 150 Å³/cell
**Total energy**: -80.1 eV for the cell shown

Cell lengths 6.0086, 6.0103, 5.9305 Å; angles 120.42, 90.00, 119.99 degrees
Each line ends with the local moment (μB).
Element x y z (fractional)
Li (0.0000, 0.0000, 0.0000)  0.00
Li (0.0000, 0.5000, 0.0000)  0.00
Li (0.5000, 0.5000, 0.0000)  0.00
Ni (0.5000, 0.0000, 0.5000)  1.63
Ni (0.5000, 0.5000, 0.5000)  1.63
Ni (0.0000, 0.5000, 0.5000)  1.63
Ir (0.0000, 0.0000, 0.5000)  -0.87
O (0.2637, 0.5275, 0.2912)  -0.12
O (0.7363, 0.4725, 0.7088)  -0.12
O (0.7697, 0.5394, 0.2733)  -0.05
O (0.2303, 0.4606, 0.7267)  -0.05
O (0.7697, 0.0038, 0.2733)  -0.05
O (0.2303, 0.9962, 0.7267)  -0.05
O (0.2341, 0.0038, 0.2733)  -0.05
O (0.7659, 0.9962, 0.7267)  -0.05